(i)
## InHg2Br (meta-GGA SCAN)

Data for a PBEsol-optimized structure of InHg2Br.

Cell: 5.1801 5.1801 8.0430 Å, 90.00 90.00 90.00°
Space group I-4m2 (No. 119)
Inequivalent atoms, fractional coordinates:
In  0.0000  0.0000  0.0000
Hg  0.0000  0.0000  0.5000
Hg  0.0000  0.5000  0.7500
Br  0.0000  0.5000  0.2500

Properties
- N(E_F) (states/eV/f.u.) = 0.10

***

(ii)
## InHg2Br (meta-GGA SCAN)

Data for a PBEsol-optimized structure of InHg2Br.

Cell: 3.6923 5.0967 11.2559 Å, 90.00 90.00 90.00°
Space group Immm (No. 71)
Inequivalent atoms, fractional coordinates:
In  0.0000  0.0000  0.0000
Hg  0.0000  0.5000  0.2632
Br  0.0000  0.0000  0.5000

Properties
- N(E_F) (states/eV/f.u.) = 0.54

***

Which is most stable? The ranking, best first, is (ii), (i).

***

(i)
## InHg2Br (meta-GGA SCAN)

Data for a PBEsol-optimized structure of InHg2Br.

Cell: 6.0304 7.6973 4.9769 Å, 90.00 90.00 90.00°
Space group Cmmm (No. 65)
Inequivalent atoms, fractional coordinates:
In  0.0000  0.0000  0.0000
Hg  0.0000  0.2321  0.5000
Br  0.0000  0.5000  0.0000

Properties
- N(E_F) (states/eV/f.u.) = 0.12

***

(ii)
## InHg2Br (meta-GGA SCAN)

Data for a PBEsol-optimized structure of InHg2Br.

Cell: 4.1752 4.6662 5.5829 Å, 90.00 90.00 90.00°
Space group Pmmm (No. 47)
Inequivalent atoms, fractional coordinates:
In  0.0000  0.0000  0.0000
Hg  0.0000  0.5000  0.5000
Hg  0.5000  0.0000  0.5000
Br  0.5000  0.5000  0.0000

Properties
- N(E_F) (states/eV/f.u.) = 0.42

***

Which is most stable? The ranking, best first, is (i), (ii).

***

(i)
## InHg2Br (meta-GGA SCAN)

Data for a PBEsol-optimized structure of InHg2Br.

Cell: 6.0287 11.6091 4.3483 Å, 90.00 133.48 90.00°
Space group C2/m (No. 12)
Inequivalent atoms, fractional coordinates:
In  0.0000  0.0000  0.0000
Hg  0.2500  0.2500  0.5000
Br  0.0000  0.5000  0.0000

Properties
- N(E_F) (states/eV/f.u.) = 0.53

***

(ii)
## InHg2Br (meta-GGA SCAN)

Data for a PBEsol-optimized structure of InHg2Br.

Cell: 3.7342 3.7342 7.6595 Å, 90.00 90.00 90.00°
Space group P4mm (No. 99)
Inequivalent atoms, fractional coordinates:
In  0.0000  0.0000  0.0000
Hg  0.0000  0.0000  0.5139
Hg  0.5000  0.5000  0.7337
Br  0.5000  0.5000  0.2191

Properties
- N(E_F) (states/eV/f.u.) = 0.38

***

(iii)
## InHg2Br (meta-GGA SCAN)

Data for a PBEsol-optimized structure of InHg2Br.

Cell: 4.5584 4.0682 6.4418 Å, 90.00 110.37 90.00°
Space group Pm (No. 6)
Inequivalent atoms, fractional coordinates:
In  0.0000  0.0000  0.0000
Hg  0.2551  0.0000  0.5083
Hg  0.8004  0.5000  0.6023
Br  0.5432  0.5000  0.0890

Properties
- N(E_F) (states/eV/f.u.) = 0.40

***

Which is most stable? The ranking, best first, is (iii), (i), (ii).

***

(i)
## InHg2Br (meta-GGA SCAN)

Data for a PBEsol-optimized structure of InHg2Br.

Cell: 4.2267 4.2267 22.0542 Å, 90.00 90.00 120.00°
Space group R3m (No. 160, hexagonal axes)
Inequivalent atoms, fractional coordinates:
In  0.0000  0.0000  0.0000
Hg  0.0000  0.0000  0.2553
Hg  0.0000  0.0000  0.5127
Br  0.0000  0.0000  0.7484

Properties
- N(E_F) (states/eV/f.u.) = 1.05

***

(ii)
## InHg2Br (meta-GGA SCAN)

Data for a PBEsol-optimized structure of InHg2Br.

Cell: 4.3760 4.3760 11.3145 Å, 90.00 90.00 90.00°
Space group I4/mmm (No. 139)
Inequivalent atoms, fractional coordinates:
In  0.0000  0.0000  0.0000
Hg  0.0000  0.5000  0.2500
Br  0.0000  0.0000  0.5000

Properties
- N(E_F) (states/eV/f.u.) = 0.52

***

Which is most stable? The ranking, best first, is (ii), (i).

***

(i)
## In2HgBr2 (meta-GGA SCAN)

Data for a PBEsol-optimized structure of In2HgBr2.

Cell: 8.0580 8.0580 4.4538 Å, 90.00 90.00 90.00°
Space group P4/mbm (No. 127)
Inequivalent atoms, fractional coordinates:
In  0.1427  0.3573  0.0000
Hg  0.0000  0.0000  0.0000
Br  0.1698  0.6698  0.5000

***

(ii)
## In2HgBr2 (meta-GGA SCAN)

Data for a PBEsol-optimized structure of In2HgBr2.

Cell: 5.2371 5.2371 13.0315 Å, 90.00 90.00 90.00°
Space group I4/mmm (No. 139)
Inequivalent atoms, fractional coordinates:
In  0.0000  0.0000  0.1327
Hg  0.0000  0.0000  0.5000
Br  0.0000  0.5000  0.2500

***

Which is most stable? The ranking, best first, is (i), (ii).

***

(i)
## LiHg2Br (meta-GGA SCAN)

Data for a PBEsol-optimized structure of LiHg2Br.

Cell: 3.6307 3.6093 8.4255 Å, 90.00 102.09 90.00°
Space group Pm (No. 6)
Inequivalent atoms, fractional coordinates:
Li  0.0000  0.0000  0.0000
Hg  0.1811  0.0000  0.3643
Hg  0.7941  0.5000  0.6006
Br  0.4975  0.5000  0.9948

Properties
- N(E_F) (states/eV/f.u.) = 0.00

***

(ii)
## LiHg2Br (meta-GGA SCAN)

Data for a PBEsol-optimized structure of LiHg2Br.

Cell: 4.0213 4.0213 6.2901 Å, 90.00 90.00 90.00°
Space group P4/mmm (No. 123)
Inequivalent atoms, fractional coordinates:
Li  0.0000  0.0000  0.0000
Hg  0.0000  0.5000  0.5000
Br  0.5000  0.5000  0.0000

Properties
- N(E_F) (states/eV/f.u.) = 0.43

***

(iii)
## LiHg2Br (meta-GGA SCAN)

Data for a PBEsol-optimized structure of LiHg2Br.

Cell: 3.6146 3.6146 8.6090 Å, 90.00 90.00 90.00°
Space group P4mm (No. 99)
Inequivalent atoms, fractional coordinates:
Li  0.0000  0.0000  0.0000
Hg  0.0000  0.0000  0.3437
Hg  0.5000  0.5000  0.5687
Br  0.5000  0.5000  0.9815

Properties
- N(E_F) (states/eV/f.u.) = 0.00

***

Which is most stable? The ranking, best first, is (i), (iii), (ii).

***

(i)
## LiHg2Br (meta-GGA SCAN)

Data for a PBEsol-optimized structure of LiHg2Br.

Cell: 3.8628 3.8628 24.4566 Å, 90.00 90.00 120.00°
Space group R3m (No. 160, hexagonal axes)
Inequivalent atoms, fractional coordinates:
Li  0.0000  0.0000  0.0000
Hg  0.0000  0.0000  0.5158
Hg  0.0000  0.0000  0.7585
Br  0.0000  0.0000  0.2929

Properties
- N(E_F) (states/eV/f.u.) = 0.00

***

(ii)
## LiHg2Br (meta-GGA SCAN)

Data for a PBEsol-optimized structure of LiHg2Br.

Cell: 7.3655 7.3655 7.3655 Å, 90.00 90.00 90.00°
Space group F-43m (No. 216)
Inequivalent atoms, fractional coordinates:
Li  0.0000  0.0000  0.0000
Hg  0.0000  0.0000  0.5000
Hg  0.2500  0.2500  0.7500
Br  0.2500  0.2500  0.2500

***

(iii)
## LiHg2Br (meta-GGA SCAN)

Data for a PBEsol-optimized structure of LiHg2Br.

Cell: 3.4935 3.4935 7.6556 Å, 90.00 90.00 90.00°
Space group P4/mmm (No. 123)
Inequivalent atoms, fractional coordinates:
Li  0.0000  0.0000  0.0000
Hg  0.5000  0.5000  0.2365
Br  0.0000  0.0000  0.5000

Properties
- N(E_F) (states/eV/f.u.) = 0.23

***

Which is most stable? The ranking, best first, is (i), (ii), (iii).

***

(i)
## MgHgBr2 (meta-GGA SCAN)

Data for a PBEsol-optimized structure of MgHgBr2.

Cell: 6.5310 3.7703 9.7849 Å, 90.00 102.75 90.00°
Space group C2/m (No. 12)
Inequivalent atoms, fractional coordinates:
Mg  0.0000  0.0000  0.0000
Hg  0.0000  0.5000  0.5000
Br  0.2195  0.5000  0.1597

Properties
- N(E_F) (states/eV/f.u.) = 0.00

***

(ii)
## MgHgBr2 (meta-GGA SCAN)

Data for a PBEsol-optimized structure of MgHgBr2.

Cell: 5.0992 5.0992 3.7830 Å, 90.00 90.00 90.00°
Space group P4/mmm (No. 123)
Inequivalent atoms, fractional coordinates:
Mg  0.0000  0.0000  0.0000
Hg  0.5000  0.5000  0.0000
Br  0.0000  0.5000  0.5000

Properties
- N(E_F) (states/eV/f.u.) = 1.39

***

Which is most stable? The ranking, best first, is (i), (ii).

***

(i)
## MgHg2Br (meta-GGA SCAN)

Data for a PBEsol-optimized structure of MgHg2Br.

Cell: 4.1260 4.1260 11.7448 Å, 90.00 90.00 90.00°
Space group I4/mmm (No. 139)
Inequivalent atoms, fractional coordinates:
Mg  0.0000  0.0000  0.0000
Hg  0.0000  0.5000  0.2500
Br  0.0000  0.0000  0.5000

Properties
- N(E_F) (states/eV/f.u.) = 1.47

***

(ii)
## MgHg2Br (meta-GGA SCAN)

Data for a PBEsol-optimized structure of MgHg2Br.

Cell: 4.7405 4.8692 8.3923 Å, 90.00 90.00 90.00°
Space group Cmm2 (No. 35)
Inequivalent atoms, fractional coordinates:
Mg  0.0000  0.0000  0.0000
Hg  0.0000  0.0000  0.5266
Hg  0.0000  0.5000  0.7807
Br  0.0000  0.5000  0.1833

Properties
- N(E_F) (states/eV/f.u.) = 1.26

***

Which is most stable? The ranking, best first, is (ii), (i).

***

(i)
## HgMo2Br (meta-GGA SCAN)

Data for a PBEsol-optimized structure of HgMo2Br.

Cell: 3.4120 4.8087 5.2896 Å, 90.00 95.11 90.00°
Space group P2/m (No. 10)
Inequivalent atoms, fractional coordinates:
Hg  0.0000  0.0000  0.0000
Mo  0.3121  0.5000  0.1589
Br  0.5000  0.0000  0.5000

Properties
- N(E_F) (states/eV/f.u.) = 1.77

***

(ii)
## HgMo2Br (meta-GGA SCAN)

Data for a PBEsol-optimized structure of HgMo2Br.

Cell: 3.1545 3.1545 7.8904 Å, 90.00 90.00 90.00°
Space group P4mm (No. 99)
Inequivalent atoms, fractional coordinates:
Hg  0.0000  0.0000  0.0000
Mo  0.0000  0.0000  0.4137
Mo  0.5000  0.5000  0.2467
Br  0.5000  0.5000  0.6439

Properties
- N(E_F) (states/eV/f.u.) = 2.53

***

(iii)
## HgMo2Br (meta-GGA SCAN)

Data for a PBEsol-optimized structure of HgMo2Br.

Cell: 6.4375 6.4375 6.4375 Å, 90.00 90.00 90.00°
Space group Fm-3m (No. 225)
Inequivalent atoms, fractional coordinates:
Hg  0.0000  0.0000  0.0000
Mo  0.2500  0.2500  0.2500
Br  0.0000  0.0000  0.5000

Properties
- N(E_F) (states/eV/f.u.) = 4.83

***

Which is most stable? The ranking, best first, is (ii), (i), (iii).

***

(i)
## NbHgBr2 (meta-GGA SCAN)

Data for a PBEsol-optimized structure of NbHgBr2.

Cell: 7.0895 7.0895 7.0895 Å, 90.00 90.00 90.00°
Space group Fm-3m (No. 225)
Inequivalent atoms, fractional coordinates:
Nb  0.0000  0.0000  0.0000
Hg  0.0000  0.0000  0.5000
Br  0.2500  0.2500  0.2500

Properties
- N(E_F) (states/eV/f.u.) = 2.34

***

(ii)
## NbHgBr2 (meta-GGA SCAN)

Data for a PBEsol-optimized structure of NbHgBr2.

Cell: 3.2991 3.2991 32.1238 Å, 90.00 90.00 120.00°
Space group R-3m (No. 166, hexagonal axes)
Inequivalent atoms, fractional coordinates:
Nb  0.0000  0.0000  0.0000
Hg  0.0000  0.0000  0.5000
Br  0.0000  0.0000  0.3911

Properties
- N(E_F) (states/eV/f.u.) = 1.08

***

Which is most stable? The ranking, best first, is (ii), (i).

***

(i)
## Ni2HgBr (meta-GGA SCAN)

Data for a PBEsol-optimized structure of Ni2HgBr.

Cell: 3.1386 3.9526 5.4948 Å, 90.00 90.00 90.00°
Space group Pmmm (No. 47)
Inequivalent atoms, fractional coordinates:
Ni  0.0000  0.0000  0.0000
Ni  0.5000  0.0000  0.5000
Hg  0.0000  0.5000  0.5000
Br  0.5000  0.5000  0.0000

Properties
- N(E_F) (states/eV/f.u.) = 2.42

***

(ii)
## Ni2HgBr (meta-GGA SCAN)

Data for a PBEsol-optimized structure of Ni2HgBr.

Cell: 4.4173 4.4173 3.1301 Å, 90.00 90.00 90.00°
Space group P4/mmm (No. 123)
Inequivalent atoms, fractional coordinates:
Ni  0.0000  0.5000  0.0000
Hg  0.0000  0.0000  0.5000
Br  0.5000  0.5000  0.5000

Properties
- N(E_F) (states/eV/f.u.) = 3.13

***

(iii)
## Ni2HgBr (meta-GGA SCAN)

Data for a PBEsol-optimized structure of Ni2HgBr.

Cell: 3.0358 4.2274 10.8358 Å, 90.00 90.00 90.00°
Space group Imm2 (No. 44)
Inequivalent atoms, fractional coordinates:
Ni  0.0000  0.0000  0.0000
Ni  0.0000  0.5000  0.3221
Hg  0.0000  0.0000  0.4522
Br  0.0000  0.5000  0.6791

Properties
- N(E_F) (states/eV/f.u.) = 1.90

***

Which is most stable? The ranking, best first, is (iii), (i), (ii).